A geometry-optimized DyPd4Au3 structure. Source: the Alexandria database, functional PBE-GGA.

a = 9.4119 Å, b = 6.0327 Å, c = 4.9370 Å
α = 90.00°, β = 90.00°, γ = 90.00°
Space group Pmma (No. 51)
Unique sites:
Dy1 0.0000 0.0000 0.0000
Pd1 0.0000 0.2537 0.5000
Pd2 0.2500 0.2588 0.1407
Au1 0.0000 0.5000 0.0000
Au2 0.2500 0.0000 0.6107
Au3 0.2500 0.5000 0.6444

Properties
- DOS at the Fermi energy (states/eV per cell) = 6.3
- calculated formation energy (meV/atom) = -474
- spin magnetization (μB per atom) = 0.000